Entry 1:
Here is an optimized crystal structure of SmZn11Pd from Alexandria. Energies are from PBE.

```
SmZn11Pd
1.0
-3.419 3.347 2.103
-6.384 -2.510 0.268
-0.526 -0.723 6.790
Sm Zn Pd
1 11 1
Cartesian
0.000 0.000 0.000 Sm
-2.459 0.228 2.138 Zn
-7.870 -0.115 7.023 Zn
-6.824 -0.446 2.757 Zn
-3.506 0.559 6.404 Zn
-5.706 -0.869 5.335 Zn
-4.624 0.983 3.826 Zn
-5.984 1.949 6.570 Zn
-4.346 -1.836 2.591 Zn
-3.192 -1.255 0.134 Zn
-1.973 1.312 4.446 Zn
-0.263 -0.362 3.395 Zn
-4.902 0.418 1.186 Pd
```

Calculated values
Space-group type: C2/m (12)
DOS(E_F): 4.4 states/eV per cell
ΔH_f (0 K): -0.261 eV per atom



Entry 2:
Here is an optimized crystal structure of Tb3Sm2Se8 from Alexandria. Energies are from PBE.

```
Tb3Sm2Se8
1.0
7.050 0.000 0.206
0.000 8.316 0.000
-2.618 -4.158 6.731
Tb Sm Se
3 2 8
Cartesian
3.525 0.000 0.103 Tb
0.000 2.174 0.000 Tb
0.000 6.142 0.000 Tb
1.031 0.000 3.560 Sm
3.401 4.158 3.377 Sm
5.837 4.158 1.818 Se
-1.405 0.000 5.119 Se
5.895 0.000 1.764 Se
-1.463 4.158 5.173 Se
2.157 2.183 5.211 Se
2.157 -2.183 5.211 Se
2.275 6.341 1.726 Se
2.275 1.974 1.726 Se
```

Calculated values
Space-group type: C2/m (12)
DOS(E_F): 6.6 states/eV per cell
Energy relative to the elements, uncorrected: -1.72 eV/atom



Entry 3:
Here is an optimized crystal structure of CsTaRu3 from Alexandria. Energies are from PBE.

```
CsTaRu3
1.0
-3.052 1.568 3.561
0.420 -4.367 2.282
3.868 1.711 2.562
Cs Ru Ta
1 3 1
Cartesian
0.619 -0.544 4.202 Cs
0.210 -2.183 1.141 Ru
1.934 0.855 1.281 Ru
-1.526 0.784 1.781 Ru
0.000 0.000 0.000 Ta
```

Calculated values
Space-group type: Pm-3m (221)
DOS(E_F): 7.2 states/eV per cell
ΔH_f (0 K): 1.515 eV per atom



Entry 4:
Here is an optimized crystal structure of LiTlCo2 from Alexandria. Energies are from PBE.

```
LiTlCo2
1.0
-3.946 -1.011 -1.081
-0.875 -0.138 3.323
-0.944 3.784 -0.091
Li Tl Co
1 1 2
Cartesian
-2.813 2.860 -0.621 Li
-2.778 0.899 1.086 Tl
-1.277 3.298 1.581 Co
-0.368 1.475 -0.036 Co
```

Calculated values
Space-group type: Pmmm (47)
DOS(E_F): 4.3 states/eV per cell
ΔH_f (0 K): 0.318 eV per atom



Entry 5:
Here is an optimized crystal structure of ReIrPt3 from Alexandria. Energies are from PBE.

```
ReIrPt3
1.0
-3.278 1.117 -3.323
1.815 -3.351 -2.916
-2.999 -3.249 1.867
Re Ir Pt
1 1 3
Cartesian
-2.231 -2.742 -2.186 Re
0.000 0.000 0.000 Ir
0.908 -1.676 -1.458 Pt
-1.500 -1.624 0.933 Pt
-1.639 0.558 -1.662 Pt
```

Calculated values
Space-group type: Pm-3m (221)
DOS(E_F): 9.4 states/eV per cell
ΔH_f (0 K): 2.025 eV per atom



Entry 6:
Here is an optimized crystal structure of CaMoSe from Alexandria. Energies are from PBE.

```
CaMoSe
1.0
3.472 0.000 0.000
-1.736 3.007 0.000
0.000 0.000 6.271
Mo Ca Se
1 1 1
Cartesian
1.736 1.002 2.413 Mo
0.000 0.000 6.182 Ca
0.000 2.005 3.947 Se
```

Calculated values
Space-group type: P3m1 (156)
DOS(E_F): 3.2 states/eV per cell
Energy relative to the elements, uncorrected: -0.13 eV/atom